Density functional theory data (PBE-GGA) for a relaxed structure of Ho2As2O5.

a = 6.745 Å, b = 4.097 Å, c = 4.097 Å
α = 90.00°, β = 90.00°, γ = 90.00°
Element x y z (fractional)
As 0.209 0.500 0.500
As 0.791 0.500 0.500
Ho 0.000 0.000 0.000
Ho 0.500 0.000 0.000
O 0.235 0.500 0.000
O 0.765 0.500 0.000
O 0.235 0.000 0.500
O 0.765 0.000 0.500
O 0.500 0.500 0.500

Values from the calculation:
- Relative energy among the computed polymorphs: 198 meV/atom
- SG: No. 123
- Magnetic moment: 0.0 Bohr magnetons per cell